# 1
# GGA-PBE K2TlP, relaxed
# Magnetization, μB per formula unit: 0.000
# Energy relative to the elements, kJ/mol of formula units: 54
# E above lowest polymorph, eV/atom: 0.360
# Total DFT energy (no corrections), eV per formula unit: -9.4
data_K2TlP
_symmetry_space_group_name_H-M 'C 1 2/m 1'
_symmetry_Int_Tables_number 12
_symmetry_space_group_name_Hall '-C 2y'
_cell_length_a 10.583
_cell_length_b 3.517
_cell_length_c 7.159
_cell_angle_alpha 90.00
_cell_angle_beta 97.32
_cell_angle_gamma 90.00
loop_
_atom_site_label
_atom_site_fract_x
_atom_site_fract_y
_atom_site_fract_z
K1 0.235 0.000 0.206
Tl1 0.000 0.000 0.500
P1 0.000 0.500 0.000


# 2
# GGA-PBE K2TlP, relaxed
# Magnetization, μB per formula unit: 0.000
# Energy relative to the elements, kJ/mol of formula units: -24
# E above lowest polymorph, eV/atom: 0.159
# Total DFT energy (no corrections), eV per formula unit: -10.2
data_K2TlP
_symmetry_space_group_name_H-M 'F -4 3 m'
_symmetry_Int_Tables_number 216
_symmetry_space_group_name_Hall 'F -4 2 3'
_cell_length_a 7.852
_cell_length_b 7.852
_cell_length_c 7.852
_cell_angle_alpha 90.00
_cell_angle_beta 90.00
_cell_angle_gamma 90.00
loop_
_atom_site_label
_atom_site_fract_x
_atom_site_fract_y
_atom_site_fract_z
K1 0.000 0.000 0.000
K2 0.250 0.250 0.250
Tl1 0.250 0.250 0.750
P1 0.000 0.000 0.500


# 3
# GGA-PBE K2TlP2, relaxed
# Magnetization, μB per formula unit: 0.989
# Energy relative to the elements, kJ/mol of formula units: -37
# E above lowest polymorph, eV/atom: 0.147
# Total DFT energy (no corrections), eV per formula unit: -15.8
data_K2TlP2
_symmetry_space_group_name_H-M 'I 4/m m m'
_symmetry_Int_Tables_number 139
_symmetry_space_group_name_Hall '-I 4 2'
_cell_length_a 5.022
_cell_length_b 5.022
_cell_length_c 12.539
_cell_angle_alpha 90.00
_cell_angle_beta 90.00
_cell_angle_gamma 90.00
loop_
_atom_site_label
_atom_site_fract_x
_atom_site_fract_y
_atom_site_fract_z
K1 0.000 0.500 0.250
Tl1 0.000 0.000 0.000
P1 0.000 0.000 0.417


# 4
# GGA-PBE KTlP, relaxed
# Magnetization, μB per formula unit: 0.000
# Energy relative to the elements, kJ/mol of formula units: 2
# E above lowest polymorph, eV/atom: 0.071
# Total DFT energy (no corrections), eV per formula unit: -8.8
data_KTlP
_symmetry_space_group_name_H-M 'I m m 2'
_symmetry_Int_Tables_number 44
_symmetry_space_group_name_Hall 'I 2 -2'
_cell_length_a 3.379
_cell_length_b 3.981
_cell_length_c 12.605
_cell_angle_alpha 90.00
_cell_angle_beta 90.00
_cell_angle_gamma 90.00
loop_
_atom_site_label
_atom_site_fract_x
_atom_site_fract_y
_atom_site_fract_z
K1 0.000 0.000 0.000
Tl1 0.000 0.000 0.288
P1 0.000 0.000 0.669


# 5
# GGA-PBE K2TlP, relaxed
# Magnetization, μB per formula unit: 0.002
# Energy relative to the elements, kJ/mol of formula units: 18
# E above lowest polymorph, eV/atom: 0.266
# Total DFT energy (no corrections), eV per formula unit: -9.8
data_K2TlP
_symmetry_space_group_name_H-M 'P 4/m m m'
_symmetry_Int_Tables_number 123
_symmetry_space_group_name_Hall '-P 4 2'
_cell_length_a 4.918
_cell_length_b 4.918
_cell_length_c 5.001
_cell_angle_alpha 90.00
_cell_angle_beta 90.00
_cell_angle_gamma 90.00
loop_
_atom_site_label
_atom_site_fract_x
_atom_site_fract_y
_atom_site_fract_z
K1 0.000 0.500 0.000
Tl1 0.000 0.000 0.500
P1 0.500 0.500 0.500


# 6
# GGA-PBE KTlP, relaxed
# Magnetization, μB per formula unit: 0.000
# Energy relative to the elements, kJ/mol of formula units: -18
# E above lowest polymorph, eV/atom: 0.000
# Total DFT energy (no corrections), eV per formula unit: -9.1
data_KTlP
_symmetry_space_group_name_H-M 'P 3 m 1'
_symmetry_Int_Tables_number 156
_symmetry_space_group_name_Hall 'P 3 -2"'
_cell_length_a 4.4336
_cell_length_b 4.4336
_cell_length_c 5.6179
_cell_angle_alpha 90.00
_cell_angle_beta 90.00
_cell_angle_gamma 120.00
loop_
_atom_site_label
_atom_site_fract_x
_atom_site_fract_y
_atom_site_fract_z
K1 0.0000 0.0000 0.0000
Tl1 0.3333 0.6667 0.5476
P1 0.6667 0.3333 0.3741


| no. | Fermi-level density of states (states/eV/cell) |
| --- | --- |
| 1 | 4.99 |
| 2 | 2.33 |
| 3 | 1.50 |
| 4 | 2.75 |
| 5 | 3.28 |
| 6 | 2.53 |